Record 1
# Sc2TaTc

Crystalline Sc2TaTc at its relaxed geometry (PBE, Alexandria).

Results
For the spin magnetization, the calculation gives 2.32 μB/f.u. As for the energy above the most stable polymorph in this dataset: 445.6 meV per atom. The space group is Fm-3m (225). The calculation puts the formation energy at 0.2623 eV per atom.

The structure in CIF format:
```
data_Sc2TaTc
_chemical_formula_sum 'Sc2 Ta1 Tc1'
_cell_length_a 4.734
_cell_length_b 4.734
_cell_length_c 4.734
_cell_angle_alpha 60.00
_cell_angle_beta 60.00
_cell_angle_gamma 60.00
_symmetry_space_group_name_H-M 'P 1'
_symmetry_Int_Tables_number 1
loop_
_symmetry_equiv_pos_as_xyz
'x,y,z'
loop_
_atom_site_label
_atom_site_type_symbol
_atom_site_fract_x
_atom_site_fract_y
_atom_site_fract_z
Sc1 Sc 0.250 0.250 0.250
Sc2 Sc 0.750 0.750 0.750
Tc1 Tc 0.000 0.000 0.000
Ta1 Ta 0.500 0.500 0.500
```

=====

Record 2
# CoIr12Rh3

Crystalline CoIr12Rh3 at its relaxed geometry (PBE, Alexandria).

Results
For the spin magnetization, the calculation gives 1.59 μB/f.u. The space group is P4/mmm (123). The calculation puts the formation energy at 0.0069 eV per atom.

The structure in CIF format:
```
data_CoIr12Rh3
_chemical_formula_sum 'Co1 Ir12 Rh3'
_cell_length_a 3.851
_cell_length_b 3.851
_cell_length_c 15.387
_cell_angle_alpha 90.00
_cell_angle_beta 90.00
_cell_angle_gamma 90.00
_symmetry_space_group_name_H-M 'P 1'
_symmetry_Int_Tables_number 1
loop_
_symmetry_equiv_pos_as_xyz
'x,y,z'
loop_
_atom_site_label
_atom_site_type_symbol
_atom_site_fract_x
_atom_site_fract_y
_atom_site_fract_z
Co1 Co 0.000 0.000 0.000
Ir1 Ir 0.500 0.500 0.000
Ir2 Ir 0.500 0.500 0.248
Ir3 Ir 0.500 0.500 0.500
Ir4 Ir 0.500 0.500 0.752
Ir5 Ir 0.500 0.000 0.122
Ir6 Ir 0.500 0.000 0.374
Ir7 Ir 0.500 0.000 0.626
Ir8 Ir 0.500 0.000 0.878
Ir9 Ir 0.000 0.500 0.122
Ir10 Ir 0.000 0.500 0.374
Ir11 Ir 0.000 0.500 0.626
Ir12 Ir 0.000 0.500 0.878
Rh1 Rh 0.000 0.000 0.248
Rh2 Rh 0.000 0.000 0.500
Rh3 Rh 0.000 0.000 0.752
```

=====

Record 3
# UHgAs2O8

Crystalline UHgAs2O8 at its relaxed geometry (PBE, Alexandria).

Results
For the spin magnetization, the calculation gives 0.05 μB/f.u. The calculation puts the raw total energy at -79.41 eV for the cell shown. The space group is P-3m1 (164).

The structure in CIF format:
```
data_UHgAs2O8
_chemical_formula_sum 'U1 Hg1 As2 O8'
_cell_length_a 5.735
_cell_length_b 5.735
_cell_length_c 8.396
_cell_angle_alpha 90.00
_cell_angle_beta 90.00
_cell_angle_gamma 120.00
_symmetry_space_group_name_H-M 'P 1'
_symmetry_Int_Tables_number 1
loop_
_symmetry_equiv_pos_as_xyz
'x,y,z'
loop_
_atom_site_label
_atom_site_type_symbol
_atom_site_fract_x
_atom_site_fract_y
_atom_site_fract_z
U1 U 0.000 0.000 0.000
Hg1 Hg 0.000 0.000 0.500
As1 As 0.333 0.667 0.767
As2 As 0.667 0.333 0.233
O1 O 0.174 0.348 0.857
O2 O 0.174 0.826 0.857
O3 O 0.652 0.826 0.857
O4 O 0.348 0.174 0.143
O5 O 0.667 0.333 0.429
O6 O 0.333 0.667 0.571
O7 O 0.826 0.652 0.143
O8 O 0.826 0.174 0.143
```